No. 1
Computed, not measured: an optimized crystal structure of TlHg2Au2 at the PBE level of DFT.

Calculated values
Energy relative to the elements (eV per atom): 0.059
DOS(E_F) (states/eV/f.u.): 2.13
Excess energy over the best structure of this formula in the dataset (eV/atom): 0.0414

Cell lengths 5.9152, 14.9626, 6.5469 Å; angles 90.00, 114.85, 90.00 degrees
Space group C2/c (No. 15)
Symmetry-distinct sites (fractional):
Tl: 0.0000 0.1285 0.2500 x4
Hg: 0.2240 0.3758 0.1927 x8
Au: 0.0000 0.2829 0.7500 x4
Au: 0.0000 0.4662 0.7500 x4


No. 2
Computed, not measured: an optimized crystal structure of Tl3Hg4Au at the PBE level of DFT.

Calculated values
Energy relative to the elements (eV per atom): 0.015
DOS(E_F) (states/eV/f.u.): 2.48

Cell lengths 4.9954, 5.0240, 17.1167 Å; angles 90.00, 90.00, 90.00 degrees
Space group Cmmm (No. 65)
Symmetry-distinct sites (fractional):
Tl: 0.0000 0.0000 0.0000 x2
Tl: 0.0000 0.0000 0.2726 x4
Hg: 0.0000 0.5000 0.1349 x4
Hg: 0.0000 0.5000 0.4020 x4
Au: 0.0000 0.0000 0.5000 x2


No. 3
Computed, not measured: an optimized crystal structure of Tl8HgAu5 at the PBE level of DFT.

Calculated values
Energy relative to the elements (eV per atom): 0.001
DOS(E_F) (states/eV/f.u.): 7.02

Cell lengths 9.1999, 9.1999, 8.8956 Å; angles 90.00, 90.00, 90.00 degrees
Space group I-4 (No. 82)
Symmetry-distinct sites (fractional):
Tl: 0.0518 0.1841 0.3103 x8
Tl: 0.0872 0.3388 0.9329 x8
Hg: 0.0000 0.0000 0.0000 x2
Au: 0.0000 0.5000 0.2500 x2
Au: 0.1550 0.2674 0.6162 x8


No. 4
Computed, not measured: an optimized crystal structure of TlHgAu at the PBE level of DFT.

Calculated values
Energy relative to the elements (eV per atom): -0.009
DOS(E_F) (states/eV/f.u.): 0.83
Excess energy over the best structure of this formula in the dataset (eV/atom): 0.0187

Cell lengths 5.5064, 5.7309, 5.8848 Å; angles 76.34, 66.39, 62.90 degrees
Space group P1 (No. 1)
Symmetry-distinct sites (fractional):
Tl: 0.0000 0.0000 0.0000 x1
Tl: 0.1816 0.3281 0.2993 x1
Hg: 0.5124 0.7114 0.3046 x1
Hg: 0.7040 0.0219 0.5999 x1
Au: 0.1471 0.4992 0.7643 x1
Au: 0.6097 0.5313 0.8182 x1